# 1
Crystalline InRePt2 at its relaxed geometry, computed with GGA-PBE.

a b c (Å): 4.901 4.901 2.789
angles (deg): 90.00 90.00 90.00
Fractional positions:
In (0.000, 0.500, 0.500)
Pt (0.000, 0.000, 0.000)
Pt (0.500, 0.500, 0.000)
Re (0.500, 0.000, 0.500)

Calculated values
SG: P4/mmm, No. 123
DOS at the Fermi energy, states/eV/f.u.: 1.8
Formation energy, eV per atom: 0.028

# 2
Crystalline Ac3Ge2Rh7 at its relaxed geometry, computed with GGA-PBE.

a b c (Å): 4.232 4.316 14.055
angles (deg): 98.83 90.00 90.00
Fractional positions:
Ac (0.500, 0.500, 0.000)
Ac (0.500, 0.699, 0.397)
Ac (0.500, 0.301, 0.603)
Ge (0.000, 0.914, 0.829)
Ge (0.000, 0.086, 0.171)
Rh (0.000, 0.375, 0.750)
Rh (0.000, 0.794, 0.587)
Rh (0.000, 0.000, 0.000)
Rh (0.000, 0.625, 0.250)
Rh (0.500, 0.127, 0.253)
Rh (0.500, 0.873, 0.747)
Rh (0.000, 0.206, 0.413)

Calculated values
SG: Cmmm, No. 65
DOS at the Fermi energy, states/eV/f.u.: 9.4
Formation energy, eV per atom: -0.460

# 3
Crystalline Ba5SiBr4 at its relaxed geometry, computed with GGA-PBE.

a b c (Å): 6.727 8.301 8.301
angles (deg): 80.55 66.10 66.10
Fractional positions:
Ba (0.904, 0.379, 0.816)
Ba (0.282, 0.816, 0.621)
Ba (0.720, 0.184, 0.379)
Ba (0.098, 0.621, 0.184)
Ba (0.501, 0.000, 0.000)
Si (0.001, 0.000, 0.000)
Br (0.404, 0.403, 0.791)
Br (0.807, 0.791, 0.597)
Br (0.195, 0.209, 0.403)
Br (0.598, 0.597, 0.209)

Calculated values
SG: I4/m, No. 87
DOS at the Fermi energy, states/eV/f.u.: 4.3
Uncorrected energy, eV per cell: -36.0

# 4
Crystalline ReHgMo4 at its relaxed geometry, computed with GGA-PBE.

a b c (Å): 5.221 5.221 5.221
angles (deg): 60.00 60.00 60.00
Fractional positions:
Re (0.750, 0.750, 0.750)
Hg (0.000, 0.000, 0.000)
Mo (0.878, 0.374, 0.374)
Mo (0.374, 0.374, 0.878)
Mo (0.374, 0.878, 0.374)
Mo (0.374, 0.374, 0.374)

Calculated values
SG: F-43m, No. 216
DOS at the Fermi energy, states/eV/f.u.: 5.7
Formation energy, eV per atom: 0.495

# 5
Crystalline MgScIn2 at its relaxed geometry, computed with GGA-PBE.

a b c (Å): 3.230 3.230 10.024
angles (deg): 90.00 90.00 110.85
Fractional positions:
In (0.000, 0.000, 0.994)
In (0.500, 0.500, 0.251)
Mg (0.000, 0.000, 0.504)
Sc (0.500, 0.500, 0.752)

Calculated values
SG: Cmm2, No. 35
DOS at the Fermi energy, states/eV/f.u.: 3.2
Formation energy, eV per atom: -0.043

# 6
Crystalline Nd2Pu5Os3 at its relaxed geometry, computed with GGA-PBE.

a b c (Å): 4.927 6.924 13.652
angles (deg): 90.00 100.40 90.00
Fractional positions:
Nd (0.482, 0.729, 0.965)
Nd (0.174, 0.732, 0.347)
Nd (0.826, 0.232, 0.653)
Nd (0.518, 0.229, 0.035)
Pu (0.390, 0.400, 0.781)
Pu (0.302, 0.529, 0.605)
Pu (0.698, 0.029, 0.395)
Pu (0.125, 0.233, 0.249)
Pu (0.295, 0.970, 0.590)
Pu (0.948, 0.066, 0.896)
Pu (0.705, 0.470, 0.410)
Pu (0.875, 0.733, 0.751)
Pu (0.052, 0.566, 0.104)
Pu (0.610, 0.900, 0.219)
Os (0.776, 0.754, 0.551)
Os (0.604, 0.490, 0.208)
Os (0.053, 0.962, 0.107)
Os (0.224, 0.254, 0.449)
Os (0.947, 0.462, 0.893)
Os (0.396, 0.990, 0.792)

Calculated values
SG: Cmc2_1, No. 36
DOS at the Fermi energy, states/eV/f.u.: 26.9
Formation energy, eV per atom: -0.006

# 7
Crystalline TaHg2O4 at its relaxed geometry, computed with GGA-PBE.

a b c (Å): 3.983 3.983 7.032
angles (deg): 73.55 73.55 90.00
Fractional positions:
Hg (0.335, 0.335, 0.329)
Hg (0.665, 0.665, 0.671)
O (0.156, 0.156, 0.689)
O (0.844, 0.844, 0.311)
O (0.000, 0.500, 0.000)
O (0.500, 0.000, 0.000)
Ta (0.000, 0.000, 0.000)

Calculated values
SG: I4/mmm, No. 139
DOS at the Fermi energy, states/eV/f.u.: 2.4
Uncorrected energy, eV per cell: -41.4

# 8
Crystalline MgIn2S at its relaxed geometry, computed with GGA-PBE.

a b c (Å): 7.954 7.954 6.421
angles (deg): 51.73 51.73 90.00
Fractional positions:
S (0.000, 0.000, 0.000)
S (0.750, 0.250, 0.500)
Mg (0.500, 0.500, 0.000)
Mg (0.250, 0.750, 0.500)
In (0.649, 0.125, 0.250)
In (0.101, 0.625, 0.250)
In (0.375, 0.351, 0.750)
In (0.875, 0.899, 0.750)

Calculated values
SG: I-42d, No. 122
DOS at the Fermi energy, states/eV/f.u.: 1.8
Offset from the most stable computed form, meV per atom: 0

# 9
Crystalline Be3N2 at its relaxed geometry, computed with GGA-PBE.

a b c (Å): 7.057 7.057 7.057
angles (deg): 109.47 109.47 109.47
Fractional positions:
Be (0.766, 0.532, 0.526)
Be (0.968, 0.734, 0.994)
Be (0.766, 0.734, 0.260)
Be (0.240, 0.974, 0.506)
Be (0.734, 0.994, 0.968)
Be (0.260, 0.766, 0.734)
Be (0.974, 0.506, 0.240)
Be (0.526, 0.766, 0.532)
Be (0.532, 0.526, 0.766)
Be (0.994, 0.968, 0.734)
Be (0.734, 0.260, 0.766)
Be (0.506, 0.240, 0.974)
Be (0.234, 0.468, 0.474)
Be (0.032, 0.266, 0.006)
Be (0.234, 0.266, 0.740)
Be (0.760, 0.026, 0.494)
Be (0.266, 0.006, 0.032)
Be (0.740, 0.234, 0.266)
Be (0.026, 0.494, 0.760)
Be (0.474, 0.234, 0.468)
Be (0.468, 0.474, 0.234)
Be (0.006, 0.032, 0.266)
Be (0.266, 0.740, 0.234)
Be (0.494, 0.760, 0.026)
N (0.229, 0.979, 0.250)
N (0.521, 0.750, 0.271)
N (0.750, 0.271, 0.521)
N (0.979, 0.250, 0.229)
N (0.250, 0.229, 0.979)
N (0.271, 0.521, 0.750)
N (0.771, 0.021, 0.750)
N (0.479, 0.250, 0.729)
N (0.250, 0.729, 0.479)
N (0.021, 0.750, 0.771)
N (0.750, 0.771, 0.021)
N (0.729, 0.479, 0.250)
N (0.500, 0.500, 0.500)
N (0.000, 0.500, 0.000)
N (0.000, 0.000, 0.500)
N (0.500, 0.000, 0.000)

Calculated values
SG: Ia-3, No. 206
DOS at the Fermi energy, states/eV/f.u.: 0.0
Offset from the most stable computed form, meV per atom: 0

# 10
Crystalline KAlMo4 at its relaxed geometry, computed with GGA-PBE.

a b c (Å): 5.413 5.413 5.413
angles (deg): 60.00 60.00 60.00
Fractional positions:
K (0.000, 0.000, 0.000)
Al (0.750, 0.750, 0.750)
Mo (0.878, 0.374, 0.374)
Mo (0.374, 0.374, 0.878)
Mo (0.374, 0.878, 0.374)
Mo (0.374, 0.374, 0.374)

Calculated values
SG: F-43m, No. 216
DOS at the Fermi energy, states/eV/f.u.: 6.1
Formation energy, eV per atom: 0.929

# 11
Crystalline NaBrCl3 at its relaxed geometry, computed with GGA-PBE.

a b c (Å): 5.327 5.327 5.327
angles (deg): 90.00 90.00 90.00
Fractional positions:
Na (0.500, 0.500, 0.500)
Br (0.000, 0.000, 0.000)
Cl (0.000, 0.500, 0.000)
Cl (0.000, 0.000, 0.500)
Cl (0.500, 0.000, 0.000)

Calculated values
SG: Pm-3m, No. 221
DOS at the Fermi energy, states/eV/f.u.: 1.2
Offset from the most stable computed form, meV per atom: 0

# 12
Crystalline Ac3TcB7 at its relaxed geometry, computed with GGA-PBE.

a b c (Å): 3.731 8.658 10.425
angles (deg): 90.00 90.00 102.44
Fractional positions:
Ac (0.096, 0.193, 0.445)
Ac (0.904, 0.807, 0.555)
Ac (0.256, 0.511, 0.750)
Ac (0.744, 0.489, 0.250)
Ac (0.096, 0.193, 0.055)
Ac (0.904, 0.807, 0.945)
Tc (0.932, 0.864, 0.250)
Tc (0.068, 0.136, 0.750)
B (0.472, 0.944, 0.750)
B (0.528, 0.056, 0.250)
B (0.460, 0.921, 0.368)
B (0.540, 0.079, 0.632)
B (0.540, 0.079, 0.868)
B (0.460, 0.921, 0.132)
B (0.357, 0.715, 0.342)
B (0.643, 0.285, 0.658)
B (0.272, 0.545, 0.466)
B (0.728, 0.455, 0.534)
B (0.727, 0.455, 0.966)
B (0.273, 0.545, 0.034)
B (0.357, 0.715, 0.158)
B (0.643, 0.285, 0.842)

Calculated values
SG: Cmcm, No. 63
DOS at the Fermi energy, states/eV/f.u.: 3.7
Formation energy, eV per atom: -0.159

# 13
Crystalline Pm8PSe4S3 at its relaxed geometry, computed with GGA-PBE.

a b c (Å): 8.213 8.321 8.213
angles (deg): 119.57 120.00 90.00
Fractional positions:
Pm (0.240, 0.726, 0.986)
Pm (0.240, 0.726, 0.481)
Pm (0.258, 0.274, 0.516)
Pm (0.746, 0.726, 0.986)
Pm (0.254, 0.274, 0.014)
Pm (0.742, 0.726, 0.484)
Pm (0.760, 0.274, 0.519)
Pm (0.760, 0.274, 0.014)
P (0.000, 0.500, 0.000)
Se (0.500, 0.000, 0.000)
Se (0.500, 0.000, 0.500)
Se (0.000, 0.000, 0.000)
Se (0.000, 0.000, 0.500)
S (0.500, 0.500, 0.000)
S (0.500, 0.500, 0.500)
S (0.000, 0.500, 0.500)

Calculated values
SG: R-3m, No. 166
DOS at the Fermi energy, states/eV/f.u.: 5.4
Uncorrected energy, eV per cell: -100.3

# 14
Crystalline Li2FeReN4 at its relaxed geometry, computed with GGA-PBE.

a b c (Å): 5.240 5.788 6.433
angles (deg): 90.00 90.00 90.00
Fractional positions:
Li (0.493, 0.333, 0.250)
Li (0.493, 0.333, 0.750)
Li (0.993, 0.667, 0.750)
Li (0.993, 0.667, 0.250)
Fe (0.497, 0.831, 0.500)
Fe (0.997, 0.169, 0.000)
Re (0.000, 0.162, 0.500)
Re (0.500, 0.838, 0.000)
N (0.362, 0.129, 0.000)
N (0.862, 0.871, 0.500)
N (0.347, 0.137, 0.500)
N (0.847, 0.863, 0.000)
N (0.404, 0.685, 0.761)
N (0.904, 0.315, 0.261)
N (0.904, 0.315, 0.739)
N (0.404, 0.685, 0.239)

Calculated values
SG: Pmn2_1, No. 31
DOS at the Fermi energy, states/eV/f.u.: 3.1
Uncorrected energy, eV per cell: -119.9

# 15
Crystalline SrMoSe3 at its relaxed geometry, computed with GGA-PBE.

a b c (Å): 5.030 5.030 5.030
angles (deg): 90.00 90.00 90.00
Fractional positions:
Sr (0.500, 0.500, 0.500)
Mo (0.000, 0.000, 0.000)
Se (0.000, 0.500, 0.000)
Se (0.000, 0.000, 0.500)
Se (0.500, 0.000, 0.000)

Calculated values
SG: Pm-3m, No. 221
DOS at the Fermi energy, states/eV/f.u.: 3.6
Offset from the most stable computed form, meV per atom: 0

# 16
Crystalline Al6ZnNi2 at its relaxed geometry, computed with GGA-PBE.

a b c (Å): 4.356 5.016 7.138
angles (deg): 77.48 72.23 64.26
Fractional positions:
Al (0.407, 0.272, 0.914)
Al (0.593, 0.728, 0.086)
Al (0.843, 0.140, 0.175)
Al (0.179, 0.176, 0.467)
Al (0.157, 0.860, 0.825)
Al (0.821, 0.824, 0.533)
Zn (0.500, 0.500, 0.500)
Ni (0.892, 0.425, 0.791)
Ni (0.108, 0.575, 0.209)

Calculated values
SG: C2/m, No. 12
DOS at the Fermi energy, states/eV/f.u.: 2.3
Formation energy, eV per atom: -0.164

# 17
Crystalline CdCuN2O at its relaxed geometry, computed with GGA-PBE.

a b c (Å): 4.244 4.244 4.207
angles (deg): 90.00 90.00 90.00
Fractional positions:
N (0.000, 0.500, 0.000)
N (0.500, 0.000, 0.000)
O (0.000, 0.000, 0.500)
Cu (0.500, 0.500, 0.500)
Cd (0.000, 0.000, 0.000)

Calculated values
SG: P4/mmm, No. 123
DOS at the Fermi energy, states/eV/f.u.: 2.9
Uncorrected energy, eV per cell: -17.0

# 18
Crystalline NaPdSeN2 at its relaxed geometry, computed with GGA-PBE.

a b c (Å): 4.071 4.071 5.384
angles (deg): 90.00 90.00 90.00
Fractional positions:
Na (0.500, 0.500, 0.500)
Se (0.000, 0.000, 0.500)
Pd (0.000, 0.000, 0.000)
N (0.000, 0.500, 0.000)
N (0.500, 0.000, 0.000)

Calculated values
SG: P4/mmm, No. 123
DOS at the Fermi energy, states/eV/f.u.: 1.5
Offset from the most stable computed form, meV per atom: 0

# 19
Crystalline Pr8SnGe5 at its relaxed geometry, computed with GGA-PBE.

a b c (Å): 8.086 8.086 8.086
angles (deg): 109.37 109.68 109.37
Fractional positions:
Pr (0.121, 0.757, 0.012)
Pr (0.988, 0.109, 0.745)
Pr (0.750, 0.249, 0.373)
Pr (0.627, 0.377, 0.875)
Pr (0.498, 0.623, 0.250)
Pr (0.636, 0.891, 0.879)
Pr (0.255, 0.243, 0.364)
Pr (0.125, 0.751, 0.502)
Sn (0.250, 0.500, 0.750)
Ge (0.002, 0.376, 0.126)
Ge (0.874, 0.876, 0.250)
Ge (0.750, 0.624, 0.626)
Ge (0.500, 0.000, 0.500)
Ge (0.374, 0.124, 0.998)

Calculated values
SG: I-4, No. 82
DOS at the Fermi energy, states/eV/f.u.: 1.6
Formation energy, eV per atom: -0.782

# 20
Crystalline AsIrRh2 at its relaxed geometry, computed with GGA-PBE.

a b c (Å): 2.849 2.849 7.213
angles (deg): 90.00 90.00 90.00
Fractional positions:
As (0.500, 0.500, 0.250)
Ir (0.500, 0.500, 0.750)
Rh (0.000, 0.000, 0.011)
Rh (0.000, 0.000, 0.489)

Calculated values
SG: P4/mmm, No. 123
DOS at the Fermi energy, states/eV/f.u.: 5.8
Formation energy, eV per atom: 0.025